(1)
## AlMoRh2 (PBEsol)

Data for crystalline AlMoRh2 at its relaxed geometry.

Unit cell a=2.748 b=2.748 c=8.669 alpha=80.88 beta=80.88 gamma=60.00
Fractional positions:
Rh: 0.746 0.746 0.761
Al: 0.000 0.000 0.000
Rh: 0.254 0.254 0.239
Mo: 0.500 0.500 0.500

(2)
## AlMoRh2 (PBEsol)

Data for crystalline AlMoRh2 at its relaxed geometry.

Unit cell a=2.802 b=4.489 c=4.489 alpha=90.00 beta=90.00 gamma=90.00
Fractional positions:
Al: 0.500 0.500 0.500
Rh: 0.000 0.000 0.500
Mo: 0.500 0.000 0.000
Rh: 0.000 0.500 0.000

(3)
## Al2MoRh (PBEsol)

Data for crystalline Al2MoRh at its relaxed geometry.

Properties
The value obtained for the energy above the lowest structure with this stoichiometry is 0.000 eV per atom.

Unit cell a=4.297 b=4.297 c=4.297 alpha=60.00 beta=60.00 gamma=60.00
Site moments in Bohr magnetons follow the coordinates.
Fractional positions:
Rh: 0.000 0.000 0.000  0.24
Mo: 0.500 0.500 0.500  1.00
Al: 0.250 0.250 0.250  0.00
Al: 0.750 0.750 0.750  0.00

no.,uncorrected energy (eV per atom)
1,-8.38
2,-8.38
3,-7.39